Record 1
A geometry-optimized Mn2ZnWN structure, computed with PBE.

```
Mn2ZnWN
1.0
3.8317 0.0000 0.0000
0.0000 3.8317 0.0000
0.0000 0.0000 4.0849
Zn Mn W N
1 2 1 1
direct
0.5000 0.5000 0.5000 Zn
0.0000 0.5000 0.0000 Mn
0.5000 0.0000 0.0000 Mn
0.0000 0.0000 0.5000 W
0.0000 0.0000 0.0000 N
```

Output
The calculation puts the energy above the most stable polymorph in this dataset at 0 meV per atom. For the density, the calculation gives 10.33 g/cm³. For the total DFT energy (no corrections), the calculation gives -41.12 eV/cell. The space group is P4/mmm.

Record 2
A geometry-optimized La9PrY2 structure, computed with PBE.

```
La9PrY2
1.0
-4.4592 -1.6204 2.1969
-2.1843 -0.4058 -4.7329
4.9177 -14.8804 -0.9936
La Pr Y
9 1 2
direct
0.5000 0.5000 0.0000 La
0.5000 0.5000 0.3344 La
0.5000 0.5000 0.6656 La
0.5000 0.0000 0.1682 La
0.5000 0.0000 0.5000 La
0.5000 0.0000 0.8318 La
0.0000 0.5000 0.1682 La
0.0000 0.5000 0.5000 La
0.0000 0.5000 0.8318 La
0.0000 0.0000 0.0000 Pr
0.0000 0.0000 0.3347 Y
0.0000 0.0000 0.6653 Y
```

Output
For the density, the calculation gives 6.07 g/cm³. For the formation energy, the calculation gives 0.078 eV/f.u. For the total DFT energy (no corrections), the calculation gives -61.98 eV/cell. The space group is P4/mmm.

Record 3
A geometry-optimized Mn2BeCu structure, computed with PBE.

```
Mn2BeCu
1.0
-3.5448 -2.2269 -0.7139
1.2122 -3.9285 1.0638
0.3814 3.5184 2.3472
Be Mn Cu
1 2 1
direct
0.2500 0.7500 0.5000 Be
0.0000 0.0000 0.0000 Mn
0.5000 0.5000 0.0000 Mn
0.7500 0.2500 0.5000 Cu
```

Output
For the density, the calculation gives 6.41 g/cm³. For the formation energy, the calculation gives 0.680 eV/f.u. For the total DFT energy (no corrections), the calculation gives -25.48 eV/cell. The space group is I4/mmm.